Entry 1:
## NbCo3S (PBE-GGA)

Data for NbCo3S after structural relaxation.

## Properties
Distance to the lowest polymorph of the same formula: 1342.9 meV per atom

Geometry as extended XYZ:
```
5
Lattice="4.509 0.000 0.000 0.000 4.509 0.000 0.000 0.000 4.509" Properties=species:S:1:pos:R:3 pbc="T T T"
Nb 0.000 0.000 0.000
Co 0.000 0.000 2.254
Co 0.000 2.254 0.000
Co 2.254 0.000 0.000
S 2.254 2.254 2.254
```

=====

Entry 2:
## Nb3CoS6 (PBE-GGA)

Data for Nb3CoS6 after structural relaxation.

## Properties
Distance to the lowest polymorph of the same formula: 0.0 meV per atom

Geometry as extended XYZ:
```
20
Lattice="5.810 0.000 0.000 -2.905 5.032 0.000 0.000 0.000 11.780" Properties=species:S:1:pos:R:3 pbc="T T T"
Nb 0.000 0.000 0.000
Nb 0.000 0.000 5.890
Nb 0.000 3.354 0.034
Nb 0.000 3.354 5.856
Nb 2.905 1.677 5.924
Nb 2.905 1.677 11.746
Co 0.000 3.354 8.835
Co 2.905 1.677 2.945
S -0.955 1.685 10.210
S -1.924 3.362 7.460
S 0.955 1.685 7.460
S -0.968 5.016 10.210
S 1.937 0.015 1.570
S 0.981 1.670 4.320
S 1.924 3.362 10.210
S 0.968 5.016 7.460
S 3.873 0.015 4.320
S 1.950 3.347 1.570
S 4.829 1.670 1.570
S 3.860 3.347 4.320
```

=====

Entry 3:
## Nb3CoS4 (PBE-GGA)

Data for Nb3CoS4 after structural relaxation.

Geometry as extended XYZ:
```
16
Lattice="6.659 0.000 0.000 0.000 6.734 0.000 0.000 0.000 6.231" Properties=species:S:1:pos:R:3 pbc="T T T"
Nb 0.000 1.499 0.000
Nb 1.624 4.195 5.429
Nb 1.705 2.539 2.313
Nb 3.329 5.235 3.115
Nb 4.953 2.539 2.313
Nb 5.035 4.195 5.429
Co 0.000 5.249 3.076
Co 3.329 1.485 6.191
S 0.000 0.709 2.271
S 0.000 5.960 5.154
S 1.565 4.788 1.589
S 1.765 1.945 4.704
S 3.329 0.774 2.038
S 3.329 6.024 5.387
S 4.894 1.945 4.704
S 5.094 4.788 1.589
```

=====

Short version: VASP energy = -5.463; -7.208; -7.374 eV per atom, in the order given.
Short version: formation energy (no corrections) = 1.64; -1.00; -0.65 eV/atom, in the order given.